Entry from Alexandria: a relaxed structure of CaFeOs2 (PBE).

Summary:
* volume: 17.51 Å³ per atom
* space group: Cm (8)
* final energy: -0.568 Ry/atom
* N(E_F): 5.5 states/eV/cell
* offset from the most stable computed form: 84 meV/atom
* E_form: 2.04 eV per formula unit

Geometry as POSCAR:
```
CaFeOs2
1.0
4.8403 -0.0611 0.0164
3.9998 2.7265 0.0164
1.1185 0.3373 5.2140
Os Fe Ca
2 1 1
Cartesian
9.8856 2.9807 5.1219
7.3975 2.2305 4.4509
2.6543 0.8003 1.0097
4.9592 1.4953 2.5346
```